[1]
Entry from Alexandria: DyAgBr4 after structural relaxation (PBE-GGA).

The energy above the most stable polymorph in this dataset is 14 meV per atom. As for the energy relative to the elements, uncorrected: -1.328 eV/atom.

a = 8.7313 Å, b = 19.0728 Å, c = 6.9192 Å
α = 90.00°, β = 128.51°, γ = 90.00°
Closest atoms and distances in Å follow each position.
Space group C2/c (No. 15)
Unique sites:
Dy (0.0000, 0.1839, 0.2500) x4  6 Br 2.74-2.90
Ag (0.0000, 0.3809, 0.7500) x4  2 Br 2.58
Br (0.1974, 0.0809, 0.2082) x8  1 Ag 2.58, 1 Dy 2.74
Br (0.2197, 0.2946, 0.2357) x8  2 Dy 2.82-2.90, 1 Ag 3.11

---

[2]
Entry from Alexandria: La2DyY2Ho after structural relaxation (PBE-GGA).

The value obtained for the energy of formation is 252 meV/atom.

a = 6.7484 Å, b = 17.7502 Å, c = 3.3915 Å
α = 90.00°, β = 90.00°, γ = 90.00°
Closest atoms and distances in Å follow each position.
Space group Pnnm (No. 58)
Unique sites:
La (0.2437, 0.1525, 0.0000) x4  1 Ho 3.21, 4 Y 3.34-3.55, 2 La 3.39, 2 Dy 3.59
Dy (0.0000, 0.0000, 0.5000) x2  2 Dy 3.39, 4 La 3.59, 4 Ho 3.78
Y (0.2480, 0.8279, 0.0000) x4  4 La 3.34-3.55, 2 Y 3.39, 1 Ho 3.50
Ho (0.0000, 0.5000, 0.5000) x2  2 La 3.21, 2 Ho 3.39, 2 Y 3.50

---

[3]
Entry from Alexandria: SbH3Ir after structural relaxation (PBE-GGA).

The energy above the most stable polymorph in this dataset is 1009 meV per atom.

a = 3.8544 Å, b = 3.8544 Å, c = 3.8544 Å
α = 90.00°, β = 90.00°, γ = 90.00°
Closest atoms and distances in Å follow each position.
Space group Pm-3m (No. 221)
Unique sites:
Sb (0.0000, 0.0000, 0.0000) x1  6 H 1.93
H (0.0000, 0.0000, 0.5000) x3  2 Sb 1.93
Ir (0.5000, 0.5000, 0.5000) x1  12 H 2.73

---

[4]
Entry from Alexandria: LaTeI2N after structural relaxation (PBE-GGA).

The energy above the most stable polymorph in this dataset is 0 meV per atom. As for the energy relative to the elements, uncorrected: -0.051 eV/atom.

a = 6.5192 Å, b = 6.5192 Å, c = 4.1186 Å
α = 90.00°, β = 90.00°, γ = 90.00°
Closest atoms and distances in Å follow each position.
Space group P4/mmm (No. 123)
Unique sites:
La (0.0000, 0.0000, 0.0000) x1  2 N 2.06
Te (0.5000, 0.5000, 0.5000) x1  8 I 3.86, 2 Te 4.12
I (0.0000, 0.5000, 0.0000) x2  2 La 3.26
N (0.0000, 0.0000, 0.5000) x1  2 La 2.06

---

[5]
Entry from Alexandria: Pr2Sc13 after structural relaxation (PBE-GGA).

The value obtained for the energy of formation is 66 meV/atom.

a = 6.1140 Å, b = 8.3392 Å, c = 8.3930 Å
α = 66.58°, β = 80.86°, γ = 81.92°
Closest atoms and distances in Å follow each position.
Space group P-1 (No. 2)
Unique sites:
Pr (0.0885, 0.3088, 0.4257) x2  9 Sc 3.17-3.48
Sc (0.0000, 0.5000, 0.0000) x1  12 Sc 3.20-3.55, 2 Pr 3.38
Sc (0.1076, 0.9440, 0.7476) x2  5 Sc 2.97-3.31, 1 Pr 3.17
Sc (0.1825, 0.7285, 0.1710) x2  8 Sc 3.12-3.36, 2 Pr 3.37-3.44
Sc (0.2900, 0.1195, 0.9844) x2  8 Sc 2.95-3.30
Sc (0.3601, 0.4436, 0.6716) x2  5 Sc 2.95-3.26, 1 Pr 3.20
Sc (0.3969, 0.9022, 0.3928) x2  11 Sc 3.26-3.63, 2 Pr 3.48-3.63
Sc (0.4869, 0.6745, 0.8497) x2  5 Sc 2.97-3.17, 1 Pr 3.17

---

[6]
Entry from Alexandria: Hf4AgC after structural relaxation (PBE-GGA).

The value obtained for the energy of formation is -106 meV/atom.

a = 7.5518 Å, b = 12.8176 Å, c = 5.5769 Å
α = 90.00°, β = 119.36°, γ = 90.00°
Closest atoms and distances in Å follow each position.
Space group C2/c (No. 15)
Unique sites:
Hf (0.1405, 0.2046, 0.1487) x8  1 C 2.29
Hf (0.2063, 0.0540, 0.6989) x8  2 C 2.21-2.29
Ag (0.0000, 0.3919, 0.7500) x4  8 Hf 2.78-3.09
C (0.0000, 0.0647, 0.2500) x4  6 Hf 2.21-2.29

---

[7]
Entry from Alexandria: NaFeSi after structural relaxation (PBE-GGA).

As for the energy relative to the elements, uncorrected: -0.043 eV/atom.

a = 2.8061 Å, b = 4.2511 Å, c = 9.9459 Å
α = 82.77°, β = 86.77°, γ = 70.80°
Closest atoms and distances in Å follow each position.
Space group P-1 (No. 2)
Unique sites:
Na (0.2206, 0.1994, 0.1580) x2  2 Na 2.81, 2 Fe 3.04-3.05, 1 Si 3.12
Fe (0.3507, 0.7702, 0.5715) x2  5 Si 2.27-2.41
Si (0.0705, 0.3108, 0.6193) x2  5 Fe 2.27-2.41

---

[8]
Entry from Alexandria: CuH6RhPb after structural relaxation (PBE-GGA).

Its total energy is -34.75 eV/cell.

a = 4.7492 Å, b = 4.7492 Å, c = 4.7586 Å
α = 90.00°, β = 90.00°, γ = 120.00°
Closest atoms and distances in Å follow each position.
Space group P312 (No. 149)
Unique sites:
Cu (0.0000, 0.0000, 0.0000) x1  6 H 1.79
H (0.0614, 0.3481, 0.1977) x6  1 Rh 1.70, 1 Cu 1.79
Rh (0.3333, 0.6667, 0.0000) x1  6 H 1.70
Pb (0.6667, 0.3333, 0.5000) x1  6 H 2.34

---

[9]
Entry from Alexandria: KTl2InSb2 after structural relaxation (PBE-GGA).

As for the energy relative to the elements, uncorrected: -0.165 eV/atom.

a = 4.9578 Å, b = 9.7922 Å, c = 8.2262 Å
α = 90.00°, β = 90.00°, γ = 90.00°
Closest atoms and distances in Å follow each position.
Space group Pmc2_1 (No. 26)
Unique sites:
K (0.0000, 0.0671, 0.0000) x2  5 Sb 3.44-3.56, 2 In 3.62, 1 Tl 3.83
Tl (0.0000, 0.3339, 0.3410) x2  4 Sb 3.20-3.37
Tl (0.5000, 0.4153, 0.0249) x2  5 Sb 3.56-3.87, 4 Tl 3.68-3.80, 1 In 3.89
In (0.5000, 0.1687, 0.6541) x2  4 Sb 3.03-3.08
Sb (0.0000, 0.3349, 0.7298) x2  2 In 3.03, 2 Tl 3.20-3.37
Sb (0.5000, 0.1243, 0.2898) x2  2 In 3.03-3.08, 2 Tl 3.25

---

[10]
Entry from Alexandria: CsCu3Ni after structural relaxation (PBE-GGA).

The energy above the most stable polymorph in this dataset is 1579 meV per atom. The value obtained for the energy of formation is 2281 meV/atom.

a = 5.2642 Å, b = 5.2642 Å, c = 5.2642 Å
α = 90.00°, β = 90.00°, γ = 90.00°
Closest atoms and distances in Å follow each position.
Space group Pm-3m (No. 221)
Unique sites:
Cs (0.0000, 0.0000, 0.0000) x1  6 Cu 2.63
Cu (0.0000, 0.0000, 0.5000) x3  2 Cs 2.63
Ni (0.5000, 0.5000, 0.5000) x1  12 Cu 3.72

---

[11]
Entry from Alexandria: Ca2PdBr2O2 after structural relaxation (PBE-GGA).

As for the energy relative to the elements, uncorrected: -1.708 eV/atom.

a = 4.0354 Å, b = 4.0354 Å, c = 18.2524 Å
α = 90.00°, β = 90.00°, γ = 90.00°
Closest atoms and distances in Å follow each position.
Space group I4/mmm (No. 139)
Unique sites:
Ca (0.0000, 0.0000, 0.0876) x4  4 O 2.57
Pd (0.0000, 0.0000, 0.5000) x2  4 O 2.02
Br (0.0000, 0.0000, 0.3318) x4  1 Pd 3.07, 4 Ca 3.21
O (0.0000, 0.5000, 0.0000) x4  2 Pd 2.02

---

[12]
Entry from Alexandria: Tm3Te2Pb after structural relaxation (PBE-GGA).

The energy above the most stable polymorph in this dataset is 0 meV per atom. As for the energy relative to the elements, uncorrected: -0.999 eV/atom.

a = 4.3755 Å, b = 6.1384 Å, c = 12.9820 Å
α = 90.00°, β = 90.00°, γ = 90.00°
Closest atoms and distances in Å follow each position.
Space group Immm (No. 71)
Unique sites:
Tm (0.0000, 0.0000, 0.0000) x2  2 Pb 3.07, 4 Te 3.10
Tm (0.0000, 0.0000, 0.3395) x4  2 Pb 3.02, 4 Te 3.07-3.11
Te (0.0000, 0.5000, 0.3311) x4  6 Tm 3.07-3.11
Pb (0.0000, 0.5000, 0.0000) x2  6 Tm 3.02-3.07

---

[13]
Entry from Alexandria: Ce2PrAl after structural relaxation (PBE-GGA).

The energy above the most stable polymorph in this dataset is 182 meV per atom. The value obtained for the energy of formation is 60 meV/atom.

a = 7.5998 Å, b = 7.5998 Å, c = 7.5998 Å
α = 90.00°, β = 90.00°, γ = 90.00°
Closest atoms and distances in Å follow each position.
Space group Fm-3m (No. 225)
Unique sites:
Ce (0.2500, 0.2500, 0.2500) x8  4 Pr 3.29, 4 Al 3.29
Pr (0.0000, 0.0000, 0.0000) x4  8 Ce 3.29
Al (0.0000, 0.0000, 0.5000) x4  8 Ce 3.29

---

[14]
Entry from Alexandria: ScCuC after structural relaxation (PBE-GGA).

The value obtained for the energy of formation is 201 meV/atom.

a = 4.1378 Å, b = 4.1378 Å, c = 4.8597 Å
α = 90.00°, β = 90.00°, γ = 120.00°
Closest atoms and distances in Å follow each position.
Space group P6_3/mmc (No. 194)
Unique sites:
Sc (0.3333, 0.6667, 0.2500) x2  5 C 2.39-2.43
Cu (0.0000, 0.0000, 0.0000) x2  2 Cu 2.43, 6 C 2.68, 6 Sc 2.68
C (0.3333, 0.6667, 0.7500) x2  5 Sc 2.39-2.43

---

[15]
Entry from Alexandria: CeEu2Cu after structural relaxation (PBE-GGA).

The energy above the most stable polymorph in this dataset is 199 meV per atom. The value obtained for the energy of formation is 295 meV/atom.

a = 7.4887 Å, b = 7.4887 Å, c = 7.4887 Å
α = 90.00°, β = 90.00°, γ = 90.00°
Closest atoms and distances in Å follow each position.
Space group Fm-3m (No. 225)
Unique sites:
Ce (0.0000, 0.0000, 0.0000) x4  8 Eu 3.24
Eu (0.2500, 0.2500, 0.2500) x8  4 Ce 3.24, 4 Cu 3.24
Cu (0.0000, 0.0000, 0.5000) x4  8 Eu 3.24

---

[16]
Entry from Alexandria: KNbCr2Pd after structural relaxation (PBE-GGA).

The value obtained for the energy of formation is 2614 meV/atom.

a = 4.1749 Å, b = 4.1749 Å, c = 4.6089 Å
α = 90.00°, β = 90.00°, γ = 90.00°
Closest atoms and distances in Å follow each position.
Space group P4/mmm (No. 123)
Unique sites:
K (0.0000, 0.0000, 0.0000) x1  4 Cr 2.09, 2 Nb 2.30
Nb (0.0000, 0.0000, 0.5000) x1  2 K 2.30
Cr (0.0000, 0.5000, 0.0000) x2  2 K 2.09
Pd (0.5000, 0.5000, 0.5000) x1  4 Nb 2.95, 8 Cr 3.11

---

[17]
Entry from Alexandria: KSrLi2H5 after structural relaxation (PBE-GGA).

Its total energy is -26.91 eV/cell.

a = 3.9788 Å, b = 3.9788 Å, c = 7.7782 Å
α = 90.00°, β = 90.00°, γ = 90.00°
Closest atoms and distances in Å follow each position.
Space group P4/mmm (No. 123)
Unique sites:
K (0.0000, 0.0000, 0.0000) x1  12 H 2.81-3.09
Sr (0.0000, 0.0000, 0.5000) x1  8 H 2.50
Li (0.5000, 0.5000, 0.2340) x2  1 H 1.82
H (0.0000, 0.5000, 0.3044) x4  2 Li 2.06
H (0.5000, 0.5000, 0.0000) x1  2 Li 1.82

---

[18]
Entry from Alexandria: La2NdTe after structural relaxation (PBE-GGA).

The energy above the most stable polymorph in this dataset is 10 meV per atom. As for the energy relative to the elements, uncorrected: -0.619 eV/atom.

a = 4.0908 Å, b = 4.0908 Å, c = 30.4473 Å
α = 90.00°, β = 90.00°, γ = 120.00°
Closest atoms and distances in Å follow each position.
Space group R3m (No. 160, hexagonal axes)
Unique sites:
La (0.0000, 0.0000, 0.0000) x3  3 Te 3.21
La (0.0000, 0.0000, 0.1902) x3  3 Te 3.22
Nd (0.0000, 0.0000, 0.4282) x3  6 La 3.73-3.74, 6 Nd 4.09
Te (0.0000, 0.0000, 0.5952) x3  6 La 3.21-3.22

---

[19]
Entry from Alexandria: Na3Nd3PuO8 after structural relaxation (PBE-GGA).

As for the energy relative to the elements, uncorrected: -2.676 eV/atom.

a = 7.1640 Å, b = 7.1640 Å, c = 16.8449 Å
α = 90.00°, β = 90.00°, γ = 120.00°
Closest atoms and distances in Å follow each position.
Space group R-3m (No. 166, hexagonal axes)
Unique sites:
Na (0.0000, 0.5000, 0.0000) x9  6 O 2.61-2.62
Nd (0.0000, 0.5000, 0.5000) x9  6 O 2.39-2.42
Pu (0.0000, 0.0000, 0.5000) x3  6 O 2.24
O (0.0000, 0.0000, 0.2380) x6  3 Nd 2.39, 3 Na 2.62
O (0.0222, 0.5111, 0.2340) x18  1 Pu 2.24, 2 Nd 2.42

---

[20]
Entry from Alexandria: Sm3TeN after structural relaxation (PBE-GGA).

As for the energy relative to the elements, uncorrected: -1.021 eV/atom.

a = 11.9427 Å, b = 4.8602 Å, c = 9.5012 Å
α = 90.00°, β = 113.89°, γ = 90.00°
Closest atoms and distances in Å follow each position.
Space group C2/m (No. 12)
Unique sites:
Sm (0.1072, 0.0000, 0.1789) x4  2 N 2.44-2.48
Sm (0.1328, 0.0000, 0.6684) x4  1 N 2.51
Sm (0.1470, 0.5000, 0.9390) x4  3 N 2.45-2.59
Te (0.1058, 0.5000, 0.4013) x4  8 Sm 3.22-3.60
N (0.1159, 0.0000, 0.9230) x4  6 Sm 2.44-2.59